Below is an optimized crystal structure of CsK2Be, with properties calculated at the PBE level.

extended XYZ file:
```
8
Lattice="5.755 0.000 0.000 0.000 5.755 0.000 2.877 2.877 13.852" Properties=species:S:1:pos:R:3 pbc="T T T"
K 7.194 6.969 10.389
K 4.092 1.439 3.463
K 4.316 4.541 10.389
K 1.663 4.316 3.463
Be 2.877 2.877 0.000
Be 2.877 5.755 6.926
Cs 0.000 0.000 0.000
Cs 5.755 2.877 6.926
```

Properties
Space group = I-42d
E = -0.98 eV/atom
Magnetization = 0.00 μB per cell